#one
A relaxed CaTa2Cu crystal, computed with PBEsol.

Calculated values
- V: 147 Å³ per cell
- Total magnetization: 0.001 μB per cell

Cell and atoms, written as CIF:
```
data_CaTa2Cu
_space_group_name_H-M_alt 'C m m m'
_space_group_IT_number 65
_space_group_name_Hall '-C 2 2'
_cell_length_a 3.9247
_cell_length_b 4.0820
_cell_length_c 9.1812
_cell_angle_alpha 90.00
_cell_angle_beta 90.00
_cell_angle_gamma 90.00
loop_
_atom_site_label
_atom_site_type_symbol
_atom_site_fract_x
_atom_site_fract_y
_atom_site_fract_z
Ca1 Ca 0.0000 0.0000 0.0000
Ta1 Ta 0.0000 0.5000 0.3014
Cu1 Cu 0.0000 0.0000 0.5000
```

***

#two
A relaxed CaTa2Cu crystal, computed with PBEsol.

Calculated values
- V: 75 Å³ per cell
- Total magnetization: 0.001 μB per cell

Cell and atoms, written as CIF:
```
data_CaTa2Cu
_space_group_name_H-M_alt 'P 4/m m m'
_space_group_IT_number 123
_space_group_name_Hall '-P 4 2'
_cell_length_a 3.8823
_cell_length_b 3.8823
_cell_length_c 4.9709
_cell_angle_alpha 90.00
_cell_angle_beta 90.00
_cell_angle_gamma 90.00
loop_
_atom_site_label
_atom_site_type_symbol
_atom_site_fract_x
_atom_site_fract_y
_atom_site_fract_z
Ca1 Ca 0.0000 0.0000 0.0000
Ta1 Ta 0.0000 0.5000 0.5000
Cu1 Cu 0.5000 0.5000 0.0000
```

***

#three
A relaxed CaTa2Cu crystal, computed with PBEsol.

Calculated values
- V: 220 Å³ per cell
- Total magnetization: 0.003 μB per cell

Cell and atoms, written as CIF:
```
data_CaTa2Cu
_space_group_name_H-M_alt 'R -3 m'
_space_group_IT_number 166
_space_group_name_Hall '-R 3 2"'
_cell_length_a 2.9089
_cell_length_b 2.9089
_cell_length_c 29.9988
_cell_angle_alpha 90.00
_cell_angle_beta 90.00
_cell_angle_gamma 120.00
loop_
_atom_site_label
_atom_site_type_symbol
_atom_site_fract_x
_atom_site_fract_y
_atom_site_fract_z
Ca1 Ca 0.0000 0.0000 0.0000
Ta1 Ta 0.0000 0.0000 0.2393
Cu1 Cu 0.0000 0.0000 0.5000
```

***

#four
A relaxed CaTa2Cu crystal, computed with PBEsol.

Calculated values
- V: 149 Å³ per cell
- Total magnetization: 0.001 μB per cell

Cell and atoms, written as CIF:
```
data_CaTa2Cu
_space_group_name_H-M_alt 'I m m m'
_space_group_IT_number 71
_space_group_name_Hall '-I 2 2'
_cell_length_a 2.9324
_cell_length_b 4.7639
_cell_length_c 10.6535
_cell_angle_alpha 90.00
_cell_angle_beta 90.00
_cell_angle_gamma 90.00
loop_
_atom_site_label
_atom_site_type_symbol
_atom_site_fract_x
_atom_site_fract_y
_atom_site_fract_z
Ca1 Ca 0.0000 0.0000 0.0000
Ta1 Ta 0.0000 0.5000 0.2156
Cu1 Cu 0.0000 0.0000 0.5000
```

***

Short version: #four is the most stable of them.

***

#one
A relaxed Ca2CuTc crystal, computed with PBEsol.

Calculated values
- V: 79 Å³ per cell
- Total magnetization: 0.001 μB per cell

Cell and atoms, written as CIF:
```
data_Ca2CuTc
_space_group_name_H-M_alt 'P m m m'
_space_group_IT_number 47
_space_group_name_Hall '-P 2 2'
_cell_length_a 2.9078
_cell_length_b 3.3992
_cell_length_c 8.0408
_cell_angle_alpha 90.00
_cell_angle_beta 90.00
_cell_angle_gamma 90.00
loop_
_atom_site_label
_atom_site_type_symbol
_atom_site_fract_x
_atom_site_fract_y
_atom_site_fract_z
Ca1 Ca 0.0000 0.0000 0.2492
Cu1 Cu 0.5000 0.5000 0.0000
Tc1 Tc 0.5000 0.5000 0.5000
```

***

#two
A relaxed Ca2CuTc crystal, computed with PBEsol.

Calculated values
- V: 165 Å³ per cell
- Total magnetization: 0.002 μB per cell

Cell and atoms, written as CIF:
```
data_Ca2CuTc
_space_group_name_H-M_alt 'I m m 2'
_space_group_IT_number 44
_space_group_name_Hall 'I 2 -2'
_cell_length_a 3.0988
_cell_length_b 5.0002
_cell_length_c 10.6280
_cell_angle_alpha 90.00
_cell_angle_beta 90.00
_cell_angle_gamma 90.00
loop_
_atom_site_label
_atom_site_type_symbol
_atom_site_fract_x
_atom_site_fract_y
_atom_site_fract_z
Ca1 Ca 0.0000 0.0000 0.0000
Ca2 Ca 0.0000 0.5000 0.2032
Cu1 Cu 0.0000 0.5000 0.7523
Tc1 Tc 0.0000 0.0000 0.4331
```

***

Short version: #two is the most stable of them.

***

#one
A relaxed CaCuTc crystal, computed with PBEsol.

Calculated values
- V: 249 Å³ per cell
- Total magnetization: 10.130 μB per cell

Cell and atoms, written as CIF:
```
data_CaCuTc
_space_group_name_H-M_alt 'F -4 3 m'
_space_group_IT_number 216
_space_group_name_Hall 'F -4 2 3'
_cell_length_a 6.2913
_cell_length_b 6.2913
_cell_length_c 6.2913
_cell_angle_alpha 90.00
_cell_angle_beta 90.00
_cell_angle_gamma 90.00
loop_
_atom_site_label
_atom_site_type_symbol
_atom_site_fract_x
_atom_site_fract_y
_atom_site_fract_z
Ca1 Ca 0.0000 0.0000 0.0000
Cu1 Cu 0.2500 0.2500 0.7500
Tc1 Tc 0.2500 0.2500 0.2500
```

***

#two
A relaxed CaCuTc crystal, computed with PBEsol.

Calculated values
- V: 97 Å³ per cell
- Total magnetization: 0.000 μB per cell

Cell and atoms, written as CIF:
```
data_CaCuTc
_space_group_name_H-M_alt 'I 4 m m'
_space_group_IT_number 107
_space_group_name_Hall 'I 4 -2'
_cell_length_a 2.7121
_cell_length_b 2.7121
_cell_length_c 13.2017
_cell_angle_alpha 90.00
_cell_angle_beta 90.00
_cell_angle_gamma 90.00
loop_
_atom_site_label
_atom_site_type_symbol
_atom_site_fract_x
_atom_site_fract_y
_atom_site_fract_z
Ca1 Ca 0.0000 0.0000 0.0000
Cu1 Cu 0.0000 0.0000 0.6786
Tc1 Tc 0.0000 0.0000 0.3155
```

***

Short version: #two is the most stable of them.

***

#one
A relaxed CaCuW2 crystal, computed with PBEsol.

Calculated values
- V: 73 Å³ per cell
- Total magnetization: 0.001 μB per cell

Cell and atoms, written as CIF:
```
data_CaCuW2
_space_group_name_H-M_alt 'P 4/m m m'
_space_group_IT_number 123
_space_group_name_Hall '-P 4 2'
_cell_length_a 3.2229
_cell_length_b 3.2229
_cell_length_c 7.0277
_cell_angle_alpha 90.00
_cell_angle_beta 90.00
_cell_angle_gamma 90.00
loop_
_atom_site_label
_atom_site_type_symbol
_atom_site_fract_x
_atom_site_fract_y
_atom_site_fract_z
Ca1 Ca 0.0000 0.0000 0.0000
Cu1 Cu 0.0000 0.0000 0.5000
W1 W 0.5000 0.5000 0.3300
```

***

#two
A relaxed CaCuW2 crystal, computed with PBEsol.

Calculated values
- V: 131 Å³ per cell
- Total magnetization: 0.001 μB per cell

Cell and atoms, written as CIF:
```
data_CaCuW2
_space_group_name_H-M_alt 'C m m m'
_space_group_IT_number 65
_space_group_name_Hall '-C 2 2'
_cell_length_a 3.5708
_cell_length_b 4.0006
_cell_length_c 9.1736
_cell_angle_alpha 90.00
_cell_angle_beta 90.00
_cell_angle_gamma 90.00
loop_
_atom_site_label
_atom_site_type_symbol
_atom_site_fract_x
_atom_site_fract_y
_atom_site_fract_z
Ca1 Ca 0.0000 0.0000 0.0000
Cu1 Cu 0.0000 0.0000 0.5000
W1 W 0.0000 0.5000 0.2872
```

***

Short version: #two is the most stable of them.